(1)
AgB3Sb | Alexandria via LeMat-Bulk | GGA-PBE | optimized geometry; crystal system = cubic; final energy = -3.222 eV/atom; excess energy over the best structure of this formula in the dataset = 0.2249 eV/atom; N(E_F) = 0.4609 states/eV/atom; symmetry = No. 221; energy relative to the elements, uncorrected = 2.18 eV per atom
1.0
4.512 0.000 0.000
0.000 4.512 0.000
0.000 0.000 4.512
B Ag Sb
3 1 1
Direct
0.000 0.500 0.000 B
0.000 0.000 0.500 B
0.500 0.000 0.000 B
0.500 0.500 0.500 Ag
0.000 0.000 0.000 Sb

(2)
Dy2TmCu4 | Alexandria via LeMat-Bulk | GGA-PBE | optimized geometry; crystal system = tetragonal; final energy = -4.323 eV/atom; N(E_F) = 0.8379 states/eV/atom; calculated formation energy = -28 meV/atom; symmetry = No. 139
1.0
4.826 0.000 -1.538
-0.490 4.801 -1.538
-0.518 -0.574 6.713
Cu Tm Dy
4 1 2
Direct
0.885 0.385 0.770 Cu
0.115 0.615 0.230 Cu
0.615 0.115 0.230 Cu
0.385 0.885 0.770 Cu
0.000 0.000 0.000 Tm
0.288 0.288 0.576 Dy
0.712 0.712 0.424 Dy

(3)
Ti3IN | Alexandria via LeMat-Bulk | GGA-PBE | optimized geometry; crystal system = cubic; final energy = -7.057 eV/atom; excess energy over the best structure of this formula in the dataset = 0.0000 eV/atom; N(E_F) = 0.9533 states/eV/atom; symmetry = No. 221; energy relative to the elements, uncorrected = -0.34 eV per atom
1.0
-0.518 3.675 2.027
-3.616 0.646 -2.095
-2.131 -1.989 3.063
N Ti I
1 3 1
Direct
0.000 0.000 0.000 N
0.000 0.500 0.000 Ti
0.500 0.000 0.000 Ti
0.000 0.000 0.500 Ti
0.500 0.500 0.500 I

(4)
Ba2ScRh | Alexandria via LeMat-Bulk | GGA-PBE | optimized geometry; crystal system = tetragonal; final energy = -4.377 eV/atom; excess energy over the best structure of this formula in the dataset = 0.2083 eV/atom; N(E_F) = 0.2724 states/eV/atom; calculated formation energy = 5 meV/atom; symmetry = No. 122
1.0
11.916 0.000 0.000
0.000 11.916 0.000
5.958 5.958 2.475
Ba Rh Sc
4 2 2
Direct
0.787 0.125 0.250 Ba
0.963 0.625 0.250 Ba
0.375 0.213 0.750 Ba
0.875 0.037 0.750 Ba
0.750 0.250 0.500 Rh
0.000 0.000 0.000 Rh
0.250 0.750 0.500 Sc
0.500 0.500 0.000 Sc